Record 1
# NaNbCdNi, relaxed, DFT PBE-GGA
data_NaNbCdNi
_chemical_formula_sum 'Na4 Nb4 Cd4 Ni4'
_symmetry_space_group_name_H-M 'F -4 3 m'
_symmetry_Int_Tables_number 216
_symmetry_space_group_name_Hall 'F -4 2 3'
_cell_length_a 6.558
_cell_length_b 6.558
_cell_length_c 6.558
_cell_angle_alpha 90.00
_cell_angle_beta 90.00
_cell_angle_gamma 90.00
loop_
_atom_site_label
_atom_site_fract_x
_atom_site_fract_y
_atom_site_fract_z
_atom_site_occupancy
Na1 0.000 0.000 0.000 1
Nb1 0.000 0.000 0.500 1
Cd1 0.250 0.250 0.750 1
Ni1 0.250 0.250 0.250 1
# - ρ: 6.8 g/cm3
# - Offset from the most stable computed form: 0.078 eV per atom

Record 2
# NaNbCdPt, relaxed, DFT PBE-GGA
data_NaNbCdPt
_chemical_formula_sum 'Na4 Nb4 Cd4 Pt4'
_symmetry_space_group_name_H-M 'F -4 3 m'
_symmetry_Int_Tables_number 216
_symmetry_space_group_name_Hall 'F -4 2 3'
_cell_length_a 6.549
_cell_length_b 6.549
_cell_length_c 6.549
_cell_angle_alpha 90.00
_cell_angle_beta 90.00
_cell_angle_gamma 90.00
loop_
_atom_site_label
_atom_site_fract_x
_atom_site_fract_y
_atom_site_fract_z
_atom_site_occupancy
Na1 0.000 0.000 0.000 1
Nb1 0.250 0.250 0.750 1
Cd1 0.250 0.250 0.250 1
Pt1 0.000 0.000 0.500 1
# - ρ: 10.0 g/cm3
# - Offset from the most stable computed form: 0.000 eV per atom

Record 3
# NaNbCdPt, relaxed, DFT PBE-GGA
data_NaNbCdPt
_chemical_formula_sum 'Na4 Nb4 Cd4 Pt4'
_symmetry_space_group_name_H-M 'F -4 3 m'
_symmetry_Int_Tables_number 216
_symmetry_space_group_name_Hall 'F -4 2 3'
_cell_length_a 6.637
_cell_length_b 6.637
_cell_length_c 6.637
_cell_angle_alpha 90.00
_cell_angle_beta 90.00
_cell_angle_gamma 90.00
loop_
_atom_site_label
_atom_site_fract_x
_atom_site_fract_y
_atom_site_fract_z
_atom_site_occupancy
Na1 0.000 0.000 0.000 1
Nb1 0.000 0.000 0.500 1
Cd1 0.250 0.250 0.750 1
Pt1 0.250 0.250 0.250 1
# - ρ: 9.6 g/cm3
# - Offset from the most stable computed form: 0.094 eV per atom

Record 4
# NaNbCdS3, relaxed, DFT PBE-GGA
data_NaNbCdS3
_chemical_formula_sum 'Na2 Nb2 Cd2 S6'
_symmetry_space_group_name_H-M 'P 1 21/m 1'
_symmetry_Int_Tables_number 11
_symmetry_space_group_name_Hall '-P 2yb'
_cell_length_a 7.246
_cell_length_b 3.569
_cell_length_c 10.653
_cell_angle_alpha 90.00
_cell_angle_beta 107.81
_cell_angle_gamma 90.00
loop_
_atom_site_label
_atom_site_fract_x
_atom_site_fract_y
_atom_site_fract_z
_atom_site_occupancy
Na1 0.180 0.250 0.174 1
Nb1 0.136 0.750 0.592 1
Cd1 0.387 0.250 0.871 1
S1 0.072 0.750 0.354 1
S2 0.237 0.750 0.980 1
S3 0.401 0.250 0.640 1
# - ρ: 4.1 g/cm3
# - Offset from the most stable computed form: 0.000 eV per atom

Record 5
# NaNbCdS3, relaxed, DFT PBE-GGA
data_NaNbCdS3
_chemical_formula_sum 'Na4 Nb4 Cd4 S12'
_symmetry_space_group_name_H-M 'C m c m'
_symmetry_Int_Tables_number 63
_symmetry_space_group_name_Hall '-C 2c 2'
_cell_length_a 3.718
_cell_length_b 13.442
_cell_length_c 10.126
_cell_angle_alpha 90.00
_cell_angle_beta 90.00
_cell_angle_gamma 90.00
loop_
_atom_site_label
_atom_site_fract_x
_atom_site_fract_y
_atom_site_fract_z
_atom_site_occupancy
Na1 0.000 0.239 0.250 1
Nb1 0.000 0.500 0.000 1
Cd1 0.000 0.052 0.750 1
S1 0.000 0.134 0.532 1
S2 0.000 0.422 0.750 1
# - ρ: 4.3 g/cm3
# - Offset from the most stable computed form: 0.188 eV per atom

Record 6
# NaNbCdSe3, relaxed, DFT PBE-GGA
data_NaNbCdSe3
_chemical_formula_sum 'Na2 Nb2 Cd2 Se6'
_symmetry_space_group_name_H-M 'P 1 21/m 1'
_symmetry_Int_Tables_number 11
_symmetry_space_group_name_Hall '-P 2yb'
_cell_length_a 7.603
_cell_length_b 3.739
_cell_length_c 10.739
_cell_angle_alpha 90.00
_cell_angle_beta 108.93
_cell_angle_gamma 90.00
loop_
_atom_site_label
_atom_site_fract_x
_atom_site_fract_y
_atom_site_fract_z
_atom_site_occupancy
Na1 0.234 0.250 0.192 1
Nb1 0.129 0.750 0.595 1
Cd1 0.393 0.250 0.875 1
Se1 0.075 0.750 0.346 1
Se2 0.227 0.750 0.972 1
Se3 0.398 0.250 0.631 1
# - ρ: 5.3 g/cm3
# - Offset from the most stable computed form: 0.000 eV per atom

Record 7
# NaNbCdSe3, relaxed, DFT PBE-GGA
data_NaNbCdSe3
_chemical_formula_sum 'Na4 Nb4 Cd4 Se12'
_symmetry_space_group_name_H-M 'C m c m'
_symmetry_Int_Tables_number 63
_symmetry_space_group_name_Hall '-C 2c 2'
_cell_length_a 3.855
_cell_length_b 14.005
_cell_length_c 10.448
_cell_angle_alpha 90.00
_cell_angle_beta 90.00
_cell_angle_gamma 90.00
loop_
_atom_site_label
_atom_site_fract_x
_atom_site_fract_y
_atom_site_fract_z
_atom_site_occupancy
Na1 0.000 0.245 0.250 1
Nb1 0.000 0.000 0.000 1
Cd1 0.000 0.460 0.750 1
Se1 0.000 0.089 0.750 1
Se2 0.000 0.364 0.537 1
# - ρ: 5.5 g/cm3
# - Offset from the most stable computed form: 0.147 eV per atom

Record 8
# NaNbCdTe3, relaxed, DFT PBE-GGA
data_NaNbCdTe3
_chemical_formula_sum 'Na4 Nb4 Cd4 Te12'
_symmetry_space_group_name_H-M 'C m c m'
_symmetry_Int_Tables_number 63
_symmetry_space_group_name_Hall '-C 2c 2'
_cell_length_a 4.080
_cell_length_b 14.892
_cell_length_c 11.006
_cell_angle_alpha 90.00
_cell_angle_beta 90.00
_cell_angle_gamma 90.00
loop_
_atom_site_label
_atom_site_fract_x
_atom_site_fract_y
_atom_site_fract_z
_atom_site_occupancy
Na1 0.000 0.234 0.250 1
Nb1 0.000 0.000 0.000 1
Cd1 0.000 0.459 0.750 1
Te1 0.000 0.090 0.750 1
Te2 0.000 0.361 0.535 1
# - ρ: 6.1 g/cm3
# - Offset from the most stable computed form: 0.025 eV per atom

These records have total moment values of 0.009 0.033 0.003 0.025 7.949 0.020 7.955 7.935 Bohr magnetons per cell, in the order they appear.